Here is a relaxed structure of Mn2ZnAsO6 from Alexandria. Energies are from PBE with a Hubbard U.

Calculated total energy in eV per atom: -6.41

a b c (Å): 5.093 5.100 5.586
angles (deg): 62.89 89.96 60.11
Atoms (fractional coordinates):
Mn (0.000, 0.000, 0.000)
Mn (0.476, 0.047, 0.427)
Zn (0.217, 0.565, 0.649)
As (0.681, 0.634, 0.044)
O (0.034, 0.170, 0.243)
O (0.292, 0.089, 0.793)
O (0.417, 0.547, 0.245)
O (0.617, 0.500, 0.791)
O (0.793, 0.790, 0.242)
O (0.883, 0.821, 0.792)